The following is a DFT calculation (GGA-PBE) of Tl3BiIr after structural relaxation.

a b c (Å): 5.3244 5.3244 5.3244
angles (deg): 90.00 90.00 90.00
Closest atoms and distances in Å follow each position.
Positions (direct):
Tl: 0.0000 0.5000 0.0000  2 Ir 2.66
Tl: 0.0000 0.0000 0.5000  2 Ir 2.66
Tl: 0.5000 0.0000 0.0000  2 Ir 2.66
Ir: 0.0000 0.0000 0.0000  6 Tl 2.66
Bi: 0.5000 0.5000 0.5000  12 Tl 3.76

Calculated values
Crystal system: cubic
Energy of formation from the pure elements, kJ per mole of atoms: 28
Space group: No. 221